Below is SmMgTlS3 after structural relaxation, with properties calculated at the PBE level.

abc: 7.4128 7.4128 11.0541
angles: 90.00 90.00 147.57
Atoms (fractional coordinates):
Mg 0.9646 0.0354 0.2500
Mg 0.0354 0.9646 0.7500
S 0.8766 0.1234 0.0647
S 0.5606 0.4394 0.2500
S 0.8766 0.1234 0.4353
S 0.1234 0.8766 0.5647
S 0.4394 0.5606 0.7500
S 0.1234 0.8766 0.9353
Sm 0.5000 0.5000 0.0000
Sm 0.5000 0.5000 0.5000
Tl 0.2499 0.7501 0.2500
Tl 0.7501 0.2499 0.7500

E, eV per atom: -4.875
Spin magnetization, μB per formula unit: 0.00
Space group: Cmcm (63)
ρ, Mg/m³: 4.85